*1*
The following is a DFT calculation (PBE-GGA) of an optimized crystal structure of La2PrTl3.

a b c (Å): 3.854 6.884 15.164
angles (deg): 90.00 97.30 90.00
Fractional positions:
La  0.152  0.750  0.304
La  0.848  0.250  0.696
La  0.993  0.750  0.986
La  0.007  0.250  0.014
Pr  0.331  0.750  0.662
Pr  0.669  0.250  0.338
Tl  0.423  0.489  0.846
Tl  0.577  0.511  0.154
Tl  0.423  0.011  0.846
Tl  0.577  0.989  0.154
Tl  0.743  0.750  0.487
Tl  0.257  0.250  0.513

- D(E_F) (states/eV/cell) = 10.60

*2*
The following is a DFT calculation (PBE-GGA) of an optimized crystal structure of La2PrTl3.

a b c (Å): 3.953 3.953 11.996
angles (deg): 90.00 90.00 90.00
Fractional positions:
La  0.500  0.500  0.831
La  0.500  0.500  0.169
Pr  0.500  0.500  0.500
Tl  0.000  0.000  0.000
Tl  0.000  0.000  0.662
Tl  0.000  0.000  0.338

- D(E_F) (states/eV/cell) = 6.49

Name the most stable of them. *2*.

*1*
The following is a DFT calculation (PBE-GGA) of an optimized crystal structure of La2Pr2Tl.

a b c (Å): 14.037 6.724 6.935
angles (deg): 122.03 140.03 75.01
Fractional positions:
La  0.344  0.097  0.225
La  0.197  0.571  0.034
La  0.803  0.429  0.966
La  0.656  0.903  0.775
Pr  0.546  0.736  0.017
Pr  0.062  0.961  0.333
Pr  0.454  0.264  0.983
Pr  0.938  0.039  0.667
Tl  0.187  0.496  0.493
Tl  0.813  0.504  0.507

- D(E_F) (states/eV/cell) = 12.54

*2*
The following is a DFT calculation (PBE-GGA) of an optimized crystal structure of La2Pr2Tl.

a b c (Å): 5.724 6.923 6.915
angles (deg): 131.18 90.00 114.42
Fractional positions:
La  0.604  0.208  0.396
La  0.396  0.792  0.604
Pr  0.181  0.361  0.819
Pr  0.819  0.639  0.181
Tl  0.000  0.000  0.000

- D(E_F) (states/eV/cell) = 5.38

Name the most stable of them. *1*.

*1*
The following is a DFT calculation (PBE-GGA) of an optimized crystal structure of La6PrTl.

a b c (Å): 6.313 8.917 8.135
angles (deg): 43.16 75.02 61.82
Fractional positions:
La  0.884  0.616  0.617
La  0.617  0.883  0.884
La  0.759  0.239  0.241
La  0.383  0.117  0.116
La  0.116  0.384  0.383
La  0.241  0.761  0.759
Pr  0.500  0.500  0.500
Tl  0.000  0.000  0.000

- D(E_F) (states/eV/cell) = 11.33

*2*
The following is a DFT calculation (PBE-GGA) of an optimized crystal structure of La6PrTl.

a b c (Å): 6.039 6.039 7.563
angles (deg): 90.00 90.00 90.00
Fractional positions:
La  0.500  0.500  0.000
La  0.500  0.500  0.500
La  0.500  0.000  0.224
La  0.500  0.000  0.776
La  0.000  0.500  0.224
La  0.000  0.500  0.776
Pr  0.000  0.000  0.500
Tl  0.000  0.000  0.000

- D(E_F) (states/eV/cell) = 10.18

Name the most stable of them. *1*.

*1*
The following is a DFT calculation (PBE-GGA) of an optimized crystal structure of La4Pr3Tl.

a b c (Å): 6.366 7.344 11.766
angles (deg): 90.00 90.00 90.00
Fractional positions:
La  0.949  0.614  0.000
La  0.512  0.370  0.000
La  0.143  0.363  0.226
La  0.643  0.637  0.274
La  0.012  0.630  0.500
La  0.449  0.386  0.500
La  0.643  0.637  0.726
La  0.143  0.363  0.774
Pr  0.484  0.876  0.000
Pr  0.153  0.882  0.243
Pr  0.653  0.118  0.257
Pr  0.984  0.124  0.500
Pr  0.653  0.118  0.743
Pr  0.153  0.882  0.757
Tl  0.976  0.105  0.000
Tl  0.476  0.895  0.500

- D(E_F) (states/eV/cell) = 19.38

*2*
The following is a DFT calculation (PBE-GGA) of an optimized crystal structure of La4Pr3Tl.

a b c (Å): 7.217 7.340 10.260
angles (deg): 90.00 90.00 90.00
Fractional positions:
Pr  0.000  0.310  0.000
Pr  0.269  0.061  0.750
Pr  0.731  0.561  0.750
Pr  0.000  0.810  0.500
Pr  0.731  0.561  0.250
Pr  0.269  0.061  0.250
Tl  0.500  0.811  0.000
Tl  0.500  0.311  0.500
La  0.998  0.812  0.000
La  0.501  0.310  0.000
La  0.740  0.060  0.749
La  0.260  0.560  0.751
La  0.499  0.810  0.500
La  0.002  0.312  0.500
La  0.260  0.560  0.249
La  0.740  0.060  0.251

- D(E_F) (states/eV/cell) = 20.38

Name the most stable of them. *1*.

*1*
The following is a DFT calculation (PBE-GGA) of an optimized crystal structure of LaPr3Tl3.

a b c (Å): 9.729 9.729 9.729
angles (deg): 90.00 90.00 90.00
Fractional positions:
La  0.074  0.574  0.926
La  0.926  0.074  0.574
La  0.426  0.426  0.426
La  0.574  0.926  0.074
Pr  0.823  0.323  0.177
Pr  0.924  0.924  0.924
Pr  0.823  0.677  0.323
Pr  0.177  0.823  0.323
Pr  0.177  0.177  0.177
Pr  0.323  0.823  0.677
Pr  0.076  0.424  0.576
Pr  0.323  0.177  0.823
Pr  0.677  0.323  0.823
Pr  0.677  0.677  0.677
Pr  0.576  0.076  0.424
Pr  0.424  0.576  0.076
Tl  0.747  0.623  0.000
Tl  0.877  0.000  0.247
Tl  0.000  0.747  0.623
Tl  0.123  0.500  0.253
Tl  0.253  0.123  0.500
Tl  0.247  0.877  0.000
Tl  0.000  0.247  0.877
Tl  0.377  0.500  0.753
Tl  0.500  0.253  0.123
Tl  0.623  0.000  0.747
Tl  0.753  0.377  0.500
Tl  0.500  0.753  0.377

- D(E_F) (states/eV/cell) = 32.77

*2*
The following is a DFT calculation (PBE-GGA) of an optimized crystal structure of LaPr3Tl3.

a b c (Å): 5.378 9.862 9.862
angles (deg): 120.00 90.00 90.00
Fractional positions:
La  0.250  0.667  0.333
La  0.750  0.333  0.667
Pr  0.250  0.759  0.761
Pr  0.250  0.239  0.997
Pr  0.250  0.003  0.241
Pr  0.750  0.241  0.239
Pr  0.750  0.761  0.003
Pr  0.750  0.997  0.759
Tl  0.750  0.619  0.549
Tl  0.750  0.451  0.070
Tl  0.750  0.930  0.381
Tl  0.250  0.381  0.451
Tl  0.250  0.549  0.930
Tl  0.250  0.070  0.619

- D(E_F) (states/eV/cell) = 14.17

Name the most stable of them. *1*.

*1*
The following is a DFT calculation (PBE-GGA) of an optimized crystal structure of LaPr5Tl4.

a b c (Å): 8.884 8.587 9.419
angles (deg): 90.00 90.00 90.00
Fractional positions:
La  0.660  0.000  0.000
La  0.340  0.500  0.500
Pr  0.267  0.746  0.804
Pr  0.267  0.254  0.804
Pr  0.918  0.500  0.000
Pr  0.267  0.746  0.196
Pr  0.267  0.254  0.196
Pr  0.733  0.754  0.304
Pr  0.733  0.246  0.304
Pr  0.082  0.000  0.500
Pr  0.733  0.246  0.696
Pr  0.733  0.754  0.696
Tl  0.994  0.000  0.837
Tl  0.559  0.664  0.000
Tl  0.559  0.336  0.000
Tl  0.994  0.000  0.163
Tl  0.006  0.500  0.337
Tl  0.441  0.836  0.500
Tl  0.441  0.164  0.500
Tl  0.006  0.500  0.663

- D(E_F) (states/eV/cell) = 18.91

*2*
The following is a DFT calculation (PBE-GGA) of an optimized crystal structure of LaPr5Tl4.

a b c (Å): 3.708 3.708 22.926
angles (deg): 90.00 90.00 90.00
Fractional positions:
La  0.000  0.000  0.000
Pr  0.500  0.500  0.116
Pr  0.500  0.500  0.307
Pr  0.500  0.500  0.500
Pr  0.500  0.500  0.693
Pr  0.500  0.500  0.884
Tl  0.000  0.000  0.210
Tl  0.000  0.000  0.404
Tl  0.000  0.000  0.596
Tl  0.000  0.000  0.790

- D(E_F) (states/eV/cell) = 9.28

Name the most stable of them. *2*.

*1*
The following is a DFT calculation (PBE-GGA) of an optimized crystal structure of LaPrTmTl.

a b c (Å): 5.627 5.627 5.627
angles (deg): 60.00 60.00 60.00
Site moments in Bohr magnetons follow the coordinates.
Fractional positions:
Pr  0.750  0.750  0.750  0.13
Tl  0.000  0.000  0.000  0.00
Tm  0.500  0.500  0.500  0.23
La  0.250  0.250  0.250  0.12

- D(E_F) (states/eV/cell) = 6.55

*2*
The following is a DFT calculation (PBE-GGA) of an optimized crystal structure of LaPrTmTl.

a b c (Å): 5.558 5.558 5.561
angles (deg): 119.99 119.99 90.00
Fractional positions:
La  0.750  0.250  0.500
Pr  0.500  0.500  0.000
Tm  0.000  0.000  0.000
Tl  0.250  0.750  0.500

- D(E_F) (states/eV/cell) = 7.46

Name the most stable of them. *1*.

*1*
The following is a DFT calculation (PBE-GGA) of an optimized crystal structure of La5Pr12Tm2.

a b c (Å): 5.303 13.750 13.750
angles (deg): 45.34 78.88 78.88
Fractional positions:
La  0.301  0.199  0.199
La  0.698  0.303  0.303
La  0.500  0.000  0.000
La  0.302  0.697  0.697
La  0.699  0.801  0.801
Pr  0.100  0.900  0.900
Pr  0.196  0.548  0.061
Pr  0.196  0.061  0.548
Pr  0.592  0.648  0.167
Pr  0.592  0.167  0.648
Pr  0.087  0.413  0.413
Pr  0.913  0.587  0.587
Pr  0.408  0.352  0.833
Pr  0.408  0.833  0.352
Pr  0.804  0.452  0.939
Pr  0.804  0.939  0.452
Pr  0.900  0.100  0.100
Tm  0.000  0.222  0.778
Tm  0.000  0.778  0.222

- D(E_F) (states/eV/cell) = 32.34

*2*
The following is a DFT calculation (PBE-GGA) of an optimized crystal structure of La5Pr12Tm2.

a b c (Å): 7.567 10.454 10.334
angles (deg): 67.12 90.00 111.22
Fractional positions:
La  0.176  0.351  0.829
La  0.324  0.648  0.201
La  0.000  0.000  0.500
La  0.676  0.352  0.799
La  0.824  0.649  0.171
Pr  0.989  0.977  0.219
Pr  0.092  0.683  0.854
Pr  0.592  0.683  0.854
Pr  0.077  0.666  0.506
Pr  0.589  0.666  0.506
Pr  0.507  0.014  0.678
Pr  0.493  0.986  0.322
Pr  0.923  0.334  0.494
Pr  0.411  0.334  0.494
Pr  0.908  0.317  0.146
Pr  0.408  0.317  0.146
Pr  0.011  0.023  0.781
Tm  0.703  0.000  0.000
Tm  0.297  0.000  0.000

- D(E_F) (states/eV/cell) = 31.42

Name the most stable of them. *1*.